Record 1
{"formula": "YSc2TaBi", "functional": "PBE", "state": "relaxed", "cell": [[5.1578, 0.0000, 0.0000], [0.0000, 5.5027, 0.0000], [0.0000, 0.0000, 5.1578]], "species": ["Y", "Sc", "Bi", "Ta", "Sc"], "fractional_positions": [[0.5000, 0.5000, 0.5000], [0.0000, 0.0000, 0.5000], [0.0000, 0.5000, 0.0000], [0.0000, 0.0000, 0.0000], [0.5000, 0.0000, 0.0000]], "spacegroup": "No. 123", "magmom_total_mub_per_fu": 0.0, "mass_density_g_cm3": 6.45, "dos_ef_per_ev_cell": 6.04}

---

Record 2
{"formula": "SrSmAs2", "functional": "PBE", "state": "relaxed", "cell": [[4.2895, 0.0000, 0.0000], [2.1447, 3.7148, 0.0000], [2.1447, 1.2383, 7.2978]], "species": ["Sm", "As", "Sr", "As"], "fractional_positions": [[0.0000, 0.0000, 0.0000], [0.2573, 0.2573, 0.2282], [0.5000, 0.5000, 0.5000], [0.7427, 0.7427, 0.7718]], "spacegroup": "No. 166", "magmom_total_mub_per_fu": 0.0, "mass_density_g_cm3": 5.54, "relative_energy_mev_per_atom": 0, "dos_ef_per_ev_cell": 3.73}

---

Record 3
{"formula": "RbFe2AgRh", "functional": "PBE", "state": "relaxed", "cell": [[-0.9805, -4.3806, -1.9895], [4.4488, -1.8360, 1.8502], [-2.2803, -1.3647, 4.1288]], "species": ["Fe", "Rb", "Fe", "Rh", "Ag"], "fractional_positions": [[0.5000, 0.0000, 0.0000], [0.5000, 0.5000, 0.5000], [0.0000, 0.0000, 0.5000], [0.0000, 0.5000, 0.0000], [0.0000, 0.0000, 0.0000]], "spacegroup": "No. 123", "magmom_total_mub_per_fu": 7.1, "mass_density_g_cm3": 5.45, "dos_ef_per_ev_cell": 8.51}

---

Across the entries above, ΔE_f takes the values 0.47, -1.18, 1.40 eV/atom, respectively.